Entry 1:
Below is HgAs2PdSe after structural relaxation, with properties calculated at the GGA-PBE level. Values from VASP.

```
&SYSTEM
  ibrav = 0, nat = 5, ntyp = 4
/
ATOMIC_SPECIES
As 74.92 As.upf
Se 78.96 Se.upf
Hg 200.59 Hg.upf
Pd 106.42 Pd.upf
CELL_PARAMETERS angstrom
4.8651 0.0000 0.0000
0.0000 4.8651 0.0000
0.0000 0.0000 5.1877
ATOMIC_POSITIONS crystal
As 0.0000 0.5000 0.0000
As 0.5000 0.0000 0.0000
Se 0.0000 0.0000 0.5000
Hg 0.5000 0.5000 0.5000
Pd 0.0000 0.0000 0.0000
```

## Properties
**Total DFT energy (no corrections)**: -3.177 eV/atom

=====

Entry 2:
Below is NbZnIr2 after structural relaxation, with properties calculated at the GGA-PBE level. Values from VASP.

```
&SYSTEM
  ibrav = 0, nat = 4, ntyp = 3
/
ATOMIC_SPECIES
Nb 92.91 Nb.upf
Ir 192.22 Ir.upf
Zn 65.41 Zn.upf
CELL_PARAMETERS angstrom
-0.5966 -1.9697 2.1332
-0.3217 -2.1195 -2.0471
6.7516 -1.5058 0.4979
ATOMIC_POSITIONS crystal
Nb 0.5000 0.5000 0.5000
Ir 0.0000 0.0000 0.7596
Ir 0.0000 0.0000 0.2404
Zn 0.5000 0.5000 0.0000
```

## Properties
**Calculated formation energy**: -0.40 eV per atom
**Total DFT energy (no corrections)**: -7.666 eV/atom